No. 1
# Cs2ZrBiB, optimized geometry, DFT PBE-GGA
data_Cs2ZrBiB
_cell_length_a 7.180
_cell_length_b 5.649
_cell_length_c 7.180
_cell_angle_alpha 90.00
_cell_angle_beta 90.00
_cell_angle_gamma 90.00
_symmetry_space_group_name_H-M 'P 1'
_symmetry_Int_Tables_number 1
loop_
_symmetry_equiv_pos_as_xyz
'x,y,z'
loop_
_atom_site_label
_atom_site_fract_x
_atom_site_fract_y
_atom_site_fract_z
B1 0.500 0.500 0.500
Cs1 0.000 0.000 0.500
Bi1 0.000 0.500 0.000
Cs2 0.500 0.000 0.000
Zr1 0.000 0.000 0.000
# E_form in eV per atom: 1.44

---

No. 2
# CuBi3B, optimized geometry, DFT PBE-GGA
data_CuBi3B
_cell_length_a 5.233
_cell_length_b 5.233
_cell_length_c 5.233
_cell_angle_alpha 90.00
_cell_angle_beta 90.00
_cell_angle_gamma 90.00
_symmetry_space_group_name_H-M 'P 1'
_symmetry_Int_Tables_number 1
loop_
_symmetry_equiv_pos_as_xyz
'x,y,z'
loop_
_atom_site_label
_atom_site_fract_x
_atom_site_fract_y
_atom_site_fract_z
Bi1 0.000 0.500 0.000
Bi2 0.500 0.000 0.000
Cu1 0.000 0.000 0.000
B1 0.500 0.500 0.500
Bi3 0.000 0.000 0.500
# E_form in eV per atom: 1.26

---

No. 3
# CuBiB3, optimized geometry, DFT PBE-GGA
data_CuBiB3
_cell_length_a 4.715
_cell_length_b 4.715
_cell_length_c 4.715
_cell_angle_alpha 90.00
_cell_angle_beta 90.00
_cell_angle_gamma 90.00
_symmetry_space_group_name_H-M 'P 1'
_symmetry_Int_Tables_number 1
loop_
_symmetry_equiv_pos_as_xyz
'x,y,z'
loop_
_atom_site_label
_atom_site_fract_x
_atom_site_fract_y
_atom_site_fract_z
B1 0.500 0.000 0.000
B2 0.000 0.500 0.000
Cu1 0.500 0.500 0.500
B3 0.000 0.000 0.500
Bi1 0.000 0.000 0.000
# E_form in eV per atom: 2.71

---

No. 4
# Cu2BiB, optimized geometry, DFT PBE-GGA
data_Cu2BiB
_cell_length_a 4.482
_cell_length_b 4.482
_cell_length_c 4.482
_cell_angle_alpha 60.00
_cell_angle_beta 60.00
_cell_angle_gamma 60.00
_symmetry_space_group_name_H-M 'P 1'
_symmetry_Int_Tables_number 1
loop_
_symmetry_equiv_pos_as_xyz
'x,y,z'
loop_
_atom_site_label
_atom_site_fract_x
_atom_site_fract_y
_atom_site_fract_z
Bi1 0.500 0.500 0.500
Cu1 0.250 0.250 0.250
Cu2 0.750 0.750 0.750
B1 0.000 0.000 0.000
# E_form in eV per atom: 1.03

---

No. 5
# Cu2BiB, optimized geometry, DFT PBE-GGA
data_Cu2BiB
_cell_length_a 4.526
_cell_length_b 4.526
_cell_length_c 7.446
_cell_angle_alpha 72.31
_cell_angle_beta 72.31
_cell_angle_gamma 90.00
_symmetry_space_group_name_H-M 'P 1'
_symmetry_Int_Tables_number 1
loop_
_symmetry_equiv_pos_as_xyz
'x,y,z'
loop_
_atom_site_label
_atom_site_fract_x
_atom_site_fract_y
_atom_site_fract_z
B1 0.500 0.500 0.000
B2 0.250 0.750 0.500
Bi1 0.000 0.000 0.000
Cu1 0.443 0.125 0.250
Cu2 0.375 0.557 0.750
Cu3 0.307 0.625 0.250
Cu4 0.875 0.693 0.750
Bi2 0.750 0.250 0.500
# E_form in eV per atom: 0.54

---

No. 6
# CuBi2B, optimized geometry, DFT PBE-GGA
data_CuBi2B
_cell_length_a 6.011
_cell_length_b 6.011
_cell_length_c 6.881
_cell_angle_alpha 64.10
_cell_angle_beta 64.10
_cell_angle_gamma 90.00
_symmetry_space_group_name_H-M 'P 1'
_symmetry_Int_Tables_number 1
loop_
_symmetry_equiv_pos_as_xyz
'x,y,z'
loop_
_atom_site_label
_atom_site_fract_x
_atom_site_fract_y
_atom_site_fract_z
B1 0.250 0.750 0.500
Bi1 0.591 0.125 0.250
Cu1 0.000 0.000 0.000
Bi2 0.375 0.409 0.750
Cu2 0.750 0.250 0.500
Bi3 0.875 0.841 0.750
Bi4 0.159 0.625 0.250
B2 0.500 0.500 0.000
# E_form in eV per atom: 0.64

---

No. 7
# CuBiB3, optimized geometry, DFT PBE-GGA
data_CuBiB3
_cell_length_a 4.108
_cell_length_b 4.108
_cell_length_c 4.108
_cell_angle_alpha 90.00
_cell_angle_beta 90.00
_cell_angle_gamma 90.00
_symmetry_space_group_name_H-M 'P 1'
_symmetry_Int_Tables_number 1
loop_
_symmetry_equiv_pos_as_xyz
'x,y,z'
loop_
_atom_site_label
_atom_site_fract_x
_atom_site_fract_y
_atom_site_fract_z
B1 0.000 0.500 0.000
B2 0.000 0.000 0.500
Bi1 0.500 0.500 0.500
B3 0.500 0.000 0.000
Cu1 0.000 0.000 0.000
# E_form in eV per atom: 1.59

---

No. 8
# CuBi3B, optimized geometry, DFT PBE-GGA
data_CuBi3B
_cell_length_a 5.021
_cell_length_b 5.021
_cell_length_c 5.021
_cell_angle_alpha 90.00
_cell_angle_beta 90.00
_cell_angle_gamma 90.00
_symmetry_space_group_name_H-M 'P 1'
_symmetry_Int_Tables_number 1
loop_
_symmetry_equiv_pos_as_xyz
'x,y,z'
loop_
_atom_site_label
_atom_site_fract_x
_atom_site_fract_y
_atom_site_fract_z
B1 0.000 0.000 0.000
Bi1 0.000 0.000 0.500
Bi2 0.000 0.500 0.000
Bi3 0.500 0.000 0.000
Cu1 0.500 0.500 0.500
# E_form in eV per atom: 0.96